Record 1
A plane-wave DFT calculation with PBE-GGA was carried out for a relaxed Pr3HoCd3 crystal.

Cell and atoms, written as POSCAR:
```
Pr3HoCd3
1.0
4.403 -5.704 0.000
4.403 5.704 0.000
-1.119 0.000 8.620
Pr Ho Cd
6 2 6
direct
0.174 0.826 0.000
0.244 0.756 0.500
0.361 0.361 0.131
0.639 0.639 0.869
0.756 0.244 0.500
0.826 0.174 0.000
0.299 0.299 0.528
0.701 0.701 0.472
0.006 0.006 0.707
0.107 0.451 0.787
0.451 0.107 0.787
0.549 0.893 0.213
0.893 0.549 0.213
0.994 0.994 0.293
```

## Properties
E_form (eV/atom): -0.108
E_tot (eV/atom): -3.202
Space-group type: C2/m (12)
DOS at the Fermi energy (states/eV/cell): 15.351
Crystal system: monoclinic



Record 2
A plane-wave DFT calculation with PBE-GGA was carried out for a relaxed Pr2HoCd6 crystal.

Cell and atoms, written as POSCAR:
```
Pr2HoCd6
1.0
8.783 0.000 0.000
-4.392 7.607 0.000
0.000 0.000 3.449
Pr Ho Cd
2 1 6
direct
0.333 0.667 0.000
0.667 0.333 0.000
0.000 0.000 0.000
0.000 0.329 0.500
0.000 0.671 0.500
0.329 0.000 0.500
0.329 0.329 0.500
0.671 0.000 0.500
0.671 0.671 0.500
```

## Properties
E_form (eV/atom): -0.330
E_tot (eV/atom): -2.511
Space-group type: P6/mmm (191)
DOS at the Fermi energy (states/eV/cell): 7.433
Crystal system: hexagonal



Record 3
A plane-wave DFT calculation with PBE-GGA was carried out for a relaxed PrHo2Cd crystal.

Cell and atoms, written as POSCAR:
```
PrHo2Cd
1.0
1.812 1.046 10.825
-1.812 1.046 10.825
0.000 -2.093 10.825
Pr Ho Cd
1 2 1
direct
0.000 0.000 0.000
0.575 0.575 0.575
0.758 0.758 0.758
0.166 0.166 0.166
```

## Properties
E_form (eV/atom): -0.053
E_tot (eV/atom): -3.765
Distance to the lowest polymorph of the same formula (meV per atom): 92.4
Space-group type: R3m (160)
DOS at the Fermi energy (states/eV/cell): 4.733
Crystal system: trigonal